Entry 1:
KMn2Ru | the Alexandria database | GGA-PBE | relaxed; N(E_F) = 1.34 states/eV/atom; space group = Cm (8); calculated total energy = -6.398 eV/atom
1.0
4.2399 -1.4186 0.0000
4.2399 1.4186 0.0000
-0.6453 0.0000 7.2984
K Mn Ru
1 2 1
Direct
0.0000 0.0000 0.0000
0.5040 0.5040 0.5422
0.7746 0.7746 0.3662
0.2354 0.2354 0.6440

***

Entry 2:
KMnRu2 | the Alexandria database | GGA-PBE | relaxed; N(E_F) = 0.61 states/eV/atom; space group = Cm (8); calculated total energy = -6.476 eV/atom
1.0
4.3500 -1.4188 0.0000
4.3500 1.4188 0.0000
-0.6203 0.0000 7.0485
K Mn Ru
1 1 2
Direct
0.0000 0.0000 0.0000
0.2273 0.2273 0.6377
0.5001 0.5001 0.4687
0.7648 0.7648 0.3547

***

Entry 3:
KMnRu2 | the Alexandria database | GGA-PBE | relaxed; N(E_F) = 1.90 states/eV/atom; space group = Fm-3m (225); calculated total energy = -5.708 eV/atom
1.0
0.0000 3.1341 3.1341
3.1341 0.0000 3.1341
3.1341 3.1341 0.0000
K Mn Ru
1 1 2
Direct
0.0000 0.0000 0.0000
0.5000 0.5000 0.5000
0.2500 0.2500 0.2500
0.7500 0.7500 0.7500

***

Entry 4:
KMnRu2 | the Alexandria database | GGA-PBE | relaxed; N(E_F) = 0.94 states/eV/atom; space group = F-43m (216); calculated total energy = -5.947 eV/atom
1.0
0.0000 3.2435 3.2435
3.2435 0.0000 3.2435
3.2435 3.2435 0.0000
K Mn Ru
1 1 2
Direct
0.0000 0.0000 0.0000
0.7500 0.7500 0.7500
0.2500 0.2500 0.2500
0.5000 0.5000 0.5000

***

Entry 5:
K2MnRu | the Alexandria database | GGA-PBE | relaxed; N(E_F) = 0.87 states/eV/atom; space group = Cm (8); calculated total energy = -4.460 eV/atom
1.0
3.4762 -2.0006 0.0000
3.4762 2.0006 0.0000
-1.9407 0.0000 9.7683
K Mn Ru
2 1 1
Direct
0.0000 0.0000 0.0000
0.1526 0.1526 0.5447
0.4097 0.4097 0.2722
0.7426 0.7426 0.2724

***

Entry 6:
KMnRu2 | the Alexandria database | GGA-PBE | relaxed; N(E_F) = 1.18 states/eV/atom; space group = C2/m (12); calculated total energy = -6.409 eV/atom
1.0
4.4957 -1.4056 0.0000
4.4957 1.4056 0.0000
-1.0081 0.0000 6.6817
K Mn Ru
1 1 2
Direct
0.0000 0.0000 0.0000
0.5000 0.5000 0.5000
0.2155 0.2155 0.6406
0.7845 0.7845 0.3594

***

Entry 7:
KMn2Ru | the Alexandria database | GGA-PBE | relaxed; N(E_F) = 1.03 states/eV/atom; space group = I4_1/amd (141); calculated total energy = -6.028 eV/atom
1.0
-2.7104 2.7104 7.7438
2.7104 -2.7104 7.7438
2.7104 2.7104 -7.7438
K Mn Ru
2 4 2
Direct
0.3750 0.6250 0.7500
0.6250 0.3750 0.2500
0.0000 0.0000 0.0000
0.0000 0.0000 0.5000
0.0000 0.5000 0.0000
0.5000 0.0000 0.5000
0.1250 0.8750 0.2500
0.8750 0.1250 0.7500

***

Entry 8:
KMnRu2 | the Alexandria database | GGA-PBE | relaxed; N(E_F) = 1.44 states/eV/atom; space group = Cmmm (65); calculated total energy = -6.011 eV/atom
1.0
2.8641 -4.7251 0.0000
2.8641 4.7251 0.0000
0.0000 0.0000 2.5496
K Mn Ru
1 1 2
Direct
0.0000 0.0000 0.0000
0.5000 0.5000 0.0000
0.0000 0.5000 0.5000
0.5000 0.0000 0.5000

***

Entry 9:
KMnRu2 | the Alexandria database | GGA-PBE | relaxed; N(E_F) = 0.82 states/eV/atom; space group = R-3m (166); calculated total energy = -6.492 eV/atom
1.0
1.3698 0.7909 9.9126
-1.3698 0.7909 9.9126
0.0000 -1.5818 9.9126
K Mn Ru
1 1 2
Direct
0.0000 0.0000 0.0000
0.5000 0.5000 0.5000
0.2339 0.2339 0.2339
0.7661 0.7661 0.7661

***

Entry 10:
KMn2Ru | the Alexandria database | GGA-PBE | relaxed; N(E_F) = 1.09 states/eV/atom; space group = Pmmm (47); calculated total energy = -5.879 eV/atom
1.0
2.7357 0.0000 0.0000
0.0000 5.0539 0.0000
0.0000 0.0000 5.3574
K Mn Ru
1 2 1
Direct
0.0000 0.0000 0.0000
0.0000 0.5000 0.5000
0.5000 0.5000 0.0000
0.5000 0.0000 0.5000

***

Entry 11:
KMnRu2 | the Alexandria database | GGA-PBE | relaxed; N(E_F) = 1.12 states/eV/atom; space group = Cmmm (65); calculated total energy = -6.476 eV/atom
1.0
1.4997 -2.3192 0.0000
1.4997 2.3192 0.0000
0.0000 0.0000 9.7047
K Mn Ru
1 1 2
Direct
0.0000 0.0000 0.0000
0.0000 0.0000 0.5000
0.5000 0.5000 0.2956
0.5000 0.5000 0.7044

***

Entry 12:
KMn2Ru | the Alexandria database | GGA-PBE | relaxed; N(E_F) = 0.83 states/eV/atom; space group = F-43m (216); calculated total energy = -5.877 eV/atom
1.0
0.0000 3.3439 3.3439
3.3439 0.0000 3.3439
3.3439 3.3439 0.0000
K Mn Ru
1 2 1
Direct
0.0000 0.0000 0.0000
0.5000 0.5000 0.5000
0.7500 0.7500 0.7500
0.2500 0.2500 0.2500

***

Entry 13:
KMn2Ru | the Alexandria database | GGA-PBE | relaxed; N(E_F) = 1.34 states/eV/atom; space group = R-3m (166); calculated total energy = -6.355 eV/atom
1.0
1.4687 0.8479 10.1205
-1.4687 0.8479 10.1205
0.0000 -1.6959 10.1205
K Mn Ru
1 2 1
Direct
0.0000 0.0000 0.0000
0.2323 0.2323 0.2323
0.7677 0.7677 0.7677
0.5000 0.5000 0.5000

***

Entry 14:
KMnRu2 | the Alexandria database | GGA-PBE | relaxed; N(E_F) = 1.31 states/eV/atom; space group = P4/mmm (123); calculated total energy = -5.808 eV/atom
1.0
4.9072 0.0000 0.0000
0.0000 4.9072 0.0000
0.0000 0.0000 2.8535
K Mn Ru
1 1 2
Direct
0.0000 0.0000 0.0000
0.5000 0.5000 0.0000
0.0000 0.5000 0.5000
0.5000 0.0000 0.5000

***

Entry 15:
K2MnRu | the Alexandria database | GGA-PBE | relaxed; N(E_F) = 0.97 states/eV/atom; space group = Pm (6); calculated total energy = -4.506 eV/atom
1.0
3.0835 0.0000 0.0000
0.0000 3.6998 0.0000
-0.2500 0.0000 10.2223
K Mn Ru
2 1 1
Direct
0.0000 0.0000 0.0000
0.4503 0.5000 0.4148
0.9773 0.0000 0.6742
0.4834 0.5000 0.7442

***

Entry 16:
KMnRu2 | the Alexandria database | GGA-PBE | relaxed; N(E_F) = 1.32 states/eV/atom; space group = Pmmm (47); calculated total energy = -5.960 eV/atom
1.0
2.8135 0.0000 0.0000
0.0000 4.8512 0.0000
0.0000 0.0000 4.9972
K Mn Ru
1 1 2
Direct
0.0000 0.0000 0.0000
0.5000 0.5000 0.0000
0.0000 0.5000 0.5000
0.5000 0.0000 0.5000

***

Entry 17:
K4MnRu | the Alexandria database | GGA-PBE | relaxed; N(E_F) = 1.38 states/eV/atom; space group = F-43m (216); calculated total energy = -2.455 eV/atom
1.0
0.0000 4.8559 4.8559
4.8559 0.0000 4.8559
4.8559 4.8559 0.0000
K Mn Ru
4 1 1
Direct
0.3760 0.3760 0.3760
0.3760 0.3760 0.8719
0.3760 0.8719 0.3760
0.8719 0.3760 0.3760
0.0000 0.0000 0.0000
0.7500 0.7500 0.7500

***

Entry 18:
KMn2Ru | the Alexandria database | GGA-PBE | relaxed; N(E_F) = 1.11 states/eV/atom; space group = Imm2 (44); calculated total energy = -6.169 eV/atom
1.0
-1.4353 2.5568 5.2766
1.4353 -2.5568 5.2766
1.4353 2.5568 -5.2766
K Mn Ru
1 2 1
Direct
0.0000 0.0000 0.0000
0.2927 0.7927 0.5000
0.5498 0.5498 0.0000
0.7343 0.2343 0.5000

***

Entry 19:
K2MnRu | the Alexandria database | GGA-PBE | relaxed; N(E_F) = 1.17 states/eV/atom; space group = P4/mmm (123); calculated total energy = -3.874 eV/atom
1.0
2.9019 0.0000 0.0000
0.0000 2.9019 0.0000
0.0000 0.0000 11.6058
K Mn Ru
2 1 1
Direct
0.0000 0.0000 0.2278
0.0000 0.0000 0.7722
0.5000 0.5000 0.5000
0.5000 0.5000 0.0000

***

Entry 20:
K2MnRu | the Alexandria database | GGA-PBE | relaxed; N(E_F) = 0.63 states/eV/atom; space group = C2/m (12); calculated total energy = -3.944 eV/atom
1.0
2.8855 -5.8344 0.0000
2.8855 5.8344 0.0000
-1.2931 0.0000 2.6207
K Mn Ru
2 1 1
Direct
0.0000 0.5000 0.0000
0.5000 0.0000 0.0000
0.0000 0.0000 0.5000
0.5000 0.5000 0.5000